First-principles (GGA-PBE) data for a relaxed structure of EuZrIn2, as listed in Alexandria.

Geometry as CIF:
```
data_EuZrIn2
_cell_length_a 5.2514
_cell_length_b 5.2514
_cell_length_c 5.2514
_cell_angle_alpha 60.00
_cell_angle_beta 60.00
_cell_angle_gamma 60.00
_space_group_name_H-M_alt 'P 1'
_space_group_IT_number 1
_space_group_name_Hall 'P 1'
loop_
_atom_site_label
_atom_site_fract_x
_atom_site_fract_y
_atom_site_fract_z
Eu1 0.0000 0.0000 0.0000
Zr1 0.5000 0.5000 0.5000
In1 0.2500 0.2500 0.2500
In2 0.7500 0.7500 0.7500
```

Properties
V in A^3/atom: 25.60
E_tot in eV for the cell shown: -25.15
Total magnetic moment in μB per atom: 1.78
DOS(E_F) in states/eV per atom: 0.438
Calculated density in g/cm³: 7.7

---

First-principles (GGA-PBE) data for a relaxed structure of Eu5Ir, as listed in Alexandria.

Geometry as CIF:
```
data_Eu5Ir
_cell_length_a 5.6782
_cell_length_b 4.3745
_cell_length_c 8.1434
_cell_angle_alpha 105.58
_cell_angle_beta 90.00
_cell_angle_gamma 90.00
_space_group_name_H-M_alt 'P 1'
_space_group_IT_number 1
_space_group_name_Hall 'P 1'
loop_
_atom_site_label
_atom_site_fract_x
_atom_site_fract_y
_atom_site_fract_z
Eu1 0.5000 0.8377 0.6754
Eu2 0.0000 0.6257 0.2514
Eu3 0.5000 0.5000 0.0000
Eu4 0.0000 0.3743 0.7486
Eu5 0.5000 0.1623 0.3246
Ir1 0.0000 0.0000 0.0000
```

Properties
V in A^3/atom: 32.47
E_tot in eV for the cell shown: -60.20
Total magnetic moment in μB per atom: 1.07
DOS(E_F) in states/eV per atom: 5.899
Calculated density in g/cm³: 8.1

---

First-principles (GGA-PBE) data for a relaxed structure of EuIr6, as listed in Alexandria.

Geometry as CIF:
```
data_EuIr6
_cell_length_a 5.9303
_cell_length_b 5.9303
_cell_length_c 5.9303
_cell_angle_alpha 109.47
_cell_angle_beta 109.47
_cell_angle_gamma 109.47
_space_group_name_H-M_alt 'P 1'
_space_group_IT_number 1
_space_group_name_Hall 'P 1'
loop_
_atom_site_label
_atom_site_fract_x
_atom_site_fract_y
_atom_site_fract_z
Eu1 0.0000 0.0000 0.0000
Ir1 0.2500 0.7500 0.5000
Ir2 0.5000 0.7500 0.2500
Ir3 0.2500 0.5000 0.7500
Ir4 0.7500 0.2500 0.5000
Ir5 0.5000 0.2500 0.7500
Ir6 0.7500 0.5000 0.2500
```

Properties
V in A^3/atom: 22.94
E_tot in eV for the cell shown: -61.13
Total magnetic moment in μB per atom: 0.96
DOS(E_F) in states/eV per atom: 3.251
Calculated density in g/cm³: 13.5

---

First-principles (GGA-PBE) data for a relaxed structure of EuIr2, as listed in Alexandria.

Geometry as CIF:
```
data_EuIr2
_cell_length_a 5.4198
_cell_length_b 5.4198
_cell_length_c 5.4198
_cell_angle_alpha 60.00
_cell_angle_beta 60.00
_cell_angle_gamma 60.00
_space_group_name_H-M_alt 'P 1'
_space_group_IT_number 1
_space_group_name_Hall 'P 1'
loop_
_atom_site_label
_atom_site_fract_x
_atom_site_fract_y
_atom_site_fract_z
Eu1 0.7500 0.7500 0.7500
Eu2 0.5000 0.5000 0.5000
Ir1 0.1250 0.1250 0.6250
Ir2 0.6250 0.1250 0.1250
Ir3 0.1250 0.6250 0.1250
Ir4 0.1250 0.1250 0.1250
```

Properties
V in A^3/atom: 18.76
E_tot in eV for the cell shown: -58.95
Total magnetic moment in μB per atom: 2.10
DOS(E_F) in states/eV per atom: 2.307
Calculated density in g/cm³: 15.8

---

First-principles (GGA-PBE) data for a relaxed structure of Eu4Ir, as listed in Alexandria.

Geometry as CIF:
```
data_Eu4Ir
_cell_length_a 7.7089
_cell_length_b 7.7089
_cell_length_c 7.7089
_cell_angle_alpha 107.14
_cell_angle_beta 107.14
_cell_angle_gamma 114.23
_space_group_name_H-M_alt 'P 1'
_space_group_IT_number 1
_space_group_name_Hall 'P 1'
loop_
_atom_site_label
_atom_site_fract_x
_atom_site_fract_y
_atom_site_fract_z
Eu1 0.8216 0.0155 0.1939
Eu2 0.4284 0.1223 0.6939
Eu3 0.8777 0.5716 0.3061
Eu4 0.8216 0.6277 0.8061
Eu5 0.3723 0.1784 0.1939
Eu6 0.4284 0.7345 0.3061
Eu7 0.2655 0.5716 0.6939
Eu8 0.9845 0.1784 0.8061
Ir1 0.5000 0.5000 0.0000
Ir2 0.7500 0.2500 0.5000
```

Properties
V in A^3/atom: 35.08
E_tot in eV for the cell shown: -102.73
Total magnetic moment in μB per atom: 5.78
DOS(E_F) in states/eV per atom: 5.181
Calculated density in g/cm³: 7.6

---

First-principles (GGA-PBE) data for a relaxed structure of KEu3Ir, as listed in Alexandria.

Geometry as CIF:
```
data_KEu3Ir
_cell_length_a 5.8182
_cell_length_b 5.8182
_cell_length_c 5.8182
_cell_angle_alpha 90.00
_cell_angle_beta 90.00
_cell_angle_gamma 90.00
_space_group_name_H-M_alt 'P 1'
_space_group_IT_number 1
_space_group_name_Hall 'P 1'
loop_
_atom_site_label
_atom_site_fract_x
_atom_site_fract_y
_atom_site_fract_z
Eu1 0.0000 0.5000 0.0000
Eu2 0.0000 0.0000 0.5000
Eu3 0.5000 0.0000 0.0000
K1 0.5000 0.5000 0.5000
Ir1 0.0000 0.0000 0.0000
```

Properties
V in A^3/atom: 39.39
E_tot in eV for the cell shown: -41.50
Total magnetic moment in μB per atom: 4.27
DOS(E_F) in states/eV per atom: 6.230
Calculated density in g/cm³: 5.8

---

First-principles (GGA-PBE) data for a relaxed structure of La3EuIr, as listed in Alexandria.

Geometry as CIF:
```
data_La3EuIr
_cell_length_a 5.7495
_cell_length_b 5.7495
_cell_length_c 5.7495
_cell_angle_alpha 90.00
_cell_angle_beta 90.00
_cell_angle_gamma 90.00
_space_group_name_H-M_alt 'P 1'
_space_group_IT_number 1
_space_group_name_Hall 'P 1'
loop_
_atom_site_label
_atom_site_fract_x
_atom_site_fract_y
_atom_site_fract_z
Eu1 0.5000 0.5000 0.5000
Ir1 0.0000 0.0000 0.0000
La1 0.0000 0.5000 0.0000
La2 0.0000 0.0000 0.5000
La3 0.5000 0.0000 0.0000
```

Properties
V in A^3/atom: 38.01
E_tot in eV for the cell shown: -35.51
Total magnetic moment in μB per atom: 1.57
DOS(E_F) in states/eV per atom: 1.251
Calculated density in g/cm³: 6.6

---

First-principles (GGA-PBE) data for a relaxed structure of LaEuIr2, as listed in Alexandria.

Geometry as CIF:
```
data_LaEuIr2
_cell_length_a 3.4333
_cell_length_b 3.4333
_cell_length_c 7.5740
_cell_angle_alpha 90.00
_cell_angle_beta 90.00
_cell_angle_gamma 90.00
_space_group_name_H-M_alt 'P 1'
_space_group_IT_number 1
_space_group_name_Hall 'P 1'
loop_
_atom_site_label
_atom_site_fract_x
_atom_site_fract_y
_atom_site_fract_z
Eu1 0.5000 0.5000 0.5000
Ir1 0.0000 0.0000 0.7530
Ir2 0.0000 0.0000 0.2470
La1 0.5000 0.5000 0.0000
```

Properties
V in A^3/atom: 22.32
E_tot in eV for the cell shown: -34.44
Total magnetic moment in μB per atom: 1.68
DOS(E_F) in states/eV per atom: 2.954
Calculated density in g/cm³: 12.6

---

First-principles (GGA-PBE) data for a relaxed structure of LaEuIrPt, as listed in Alexandria.

Geometry as CIF:
```
data_LaEuIrPt
_cell_length_a 5.0735
_cell_length_b 5.0735
_cell_length_c 5.0735
_cell_angle_alpha 60.00
_cell_angle_beta 60.00
_cell_angle_gamma 60.00
_space_group_name_H-M_alt 'P 1'
_space_group_IT_number 1
_space_group_name_Hall 'P 1'
loop_
_atom_site_label
_atom_site_fract_x
_atom_site_fract_y
_atom_site_fract_z
Eu1 0.0000 0.0000 0.0000
Ir1 0.2500 0.2500 0.2500
Pt1 0.7500 0.7500 0.7500
La1 0.5000 0.5000 0.5000
```

Properties
V in A^3/atom: 23.09
E_tot in eV for the cell shown: -32.98
Total magnetic moment in μB per atom: 1.69
DOS(E_F) in states/eV per atom: 3.044
Calculated density in g/cm³: 12.2

---

First-principles (GGA-PBE) data for a relaxed structure of LaEuZnIr, as listed in Alexandria.

Geometry as CIF:
```
data_LaEuZnIr
_cell_length_a 5.1281
_cell_length_b 5.1281
_cell_length_c 5.1281
_cell_angle_alpha 60.00
_cell_angle_beta 60.00
_cell_angle_gamma 60.00
_space_group_name_H-M_alt 'P 1'
_space_group_IT_number 1
_space_group_name_Hall 'P 1'
loop_
_atom_site_label
_atom_site_fract_x
_atom_site_fract_y
_atom_site_fract_z
Eu1 0.2500 0.2500 0.2500
Zn1 0.0000 0.0000 0.0000
Ir1 0.5000 0.5000 0.5000
La1 0.7500 0.7500 0.7500
```

Properties
V in A^3/atom: 23.84
E_tot in eV for the cell shown: -26.94
Total magnetic moment in μB per atom: 1.73
DOS(E_F) in states/eV per atom: 1.091
Calculated density in g/cm³: 9.6

---

First-principles (GGA-PBE) data for a relaxed structure of Li2EuIr, as listed in Alexandria.

Geometry as CIF:
```
data_Li2EuIr
_cell_length_a 4.6071
_cell_length_b 4.6071
_cell_length_c 4.6071
_cell_angle_alpha 60.00
_cell_angle_beta 60.00
_cell_angle_gamma 60.00
_space_group_name_H-M_alt 'P 1'
_space_group_IT_number 1
_space_group_name_Hall 'P 1'
loop_
_atom_site_label
_atom_site_fract_x
_atom_site_fract_y
_atom_site_fract_z
Eu1 0.0000 0.0000 0.0000
Ir1 0.5000 0.5000 0.5000
Li1 0.2500 0.2500 0.2500
Li2 0.7500 0.7500 0.7500
```

Properties
V in A^3/atom: 17.29
E_tot in eV for the cell shown: -23.24
Total magnetic moment in μB per atom: 1.76
DOS(E_F) in states/eV per atom: 1.969
Calculated density in g/cm³: 8.6

---

First-principles (GGA-PBE) data for a relaxed structure of Li2EuIr, as listed in Alexandria.

Geometry as CIF:
```
data_Li2EuIr
_cell_length_a 2.9321
_cell_length_b 2.9321
_cell_length_c 10.7566
_cell_angle_alpha 82.17
_cell_angle_beta 82.17
_cell_angle_gamma 60.00
_space_group_name_H-M_alt 'P 1'
_space_group_IT_number 1
_space_group_name_Hall 'P 1'
loop_
_atom_site_label
_atom_site_fract_x
_atom_site_fract_y
_atom_site_fract_z
Eu1 0.0000 0.0000 0.0000
Ir1 0.5000 0.5000 0.5000
Li1 0.1040 0.1040 0.6879
Li2 0.8960 0.8960 0.3121
```

Properties
V in A^3/atom: 19.77
E_tot in eV for the cell shown: -21.58
Total magnetic moment in μB per atom: 2.08
DOS(E_F) in states/eV per atom: 1.034
Calculated density in g/cm³: 7.5